(1)
The following is a DFT calculation (PBE-GGA) of an optimized crystal structure of La2MgCu2O6.

The calculation puts the total magnetic moment at 2.05 μB/f.u. Its total energy is -0.23735 Ha/atom. Its raw formation energy is -1.969 eV per atom. As for the crystal system: trigonal.

The space group is R-3m (No. 166, hexagonal axes) and the conventional cell measures 5.7819, 5.7819 and 15.7398 Å, with angles of 90.00, 90.00 and 120.00 degrees. The distinct sites, in fractional coordinates, are La at (0.0000, 0.0000, 0.2094), Mg at (0.0000, 0.0000, 0.0000), Cu at (0.0000, 0.0000, 0.4181) and O at (0.0342, 0.5171, 0.7577).


(2)
The following is a DFT calculation (PBE-GGA) of an optimized crystal structure of PmTh2ScS4.

The calculation puts the total magnetic moment at 0.00 μB/f.u. Its total energy is -0.26292 Ha/atom. Its raw formation energy is -1.850 eV per atom. As for the crystal system: monoclinic.

The space group is P2/m (No. 10) and the conventional cell measures 6.768, 3.941 and 6.976 Å, with angles of 90.00, 109.01 and 90.00 degrees. The distinct sites, in fractional coordinates, are Pm at (0.000, 0.000, 0.000), Th at (0.000, 0.500, 0.500), Th at (0.500, 0.000, 0.500), Sc at (0.500, 0.500, 0.000), S at (0.259, 0.500, 0.236) and S at (0.269, 0.000, 0.771).


(3)
The following is a DFT calculation (PBE-GGA) of an optimized crystal structure of La12Tl6Os.

The calculation puts the total magnetic moment at 0.00 μB/f.u. Its total energy is -0.17150 Ha/atom. As for the crystal system: trigonal.

The space group is R-3 (No. 148, hexagonal axes) and the conventional cell measures 12.8208, 12.8208 and 13.9788 Å, with angles of 90.00, 90.00 and 120.00 degrees. The distinct sites, in fractional coordinates, are La at (0.0362, 0.1927, 0.3886), La at (0.0435, 0.8523, 0.8762), Tl at (0.0094, 0.4031, 0.2613) and Os at (0.0000, 0.0000, 0.0000).


(4)
The following is a DFT calculation (PBE-GGA) of an optimized crystal structure of ZnHgTeI2.

The calculation puts the total magnetic moment at 0.62 μB/f.u. Its total energy is -0.05279 Ha/atom. Its raw formation energy is 0.127 eV per atom. As for the crystal system: tetragonal.

The space group is P4/mmm (No. 123) and the conventional cell measures 5.629, 5.629 and 5.456 Å, with angles of 90.00, 90.00 and 90.00 degrees. The distinct sites, in fractional coordinates, are Zn at (0.000, 0.000, 0.000), Hg at (0.500, 0.500, 0.500), Te at (0.000, 0.000, 0.500) and I at (0.000, 0.500, 0.000).


(5)
The following is a DFT calculation (PBE-GGA) of an optimized crystal structure of LaTm2Mg3.

The calculation puts the total magnetic moment at 0.00 μB/f.u. Its total energy is -0.11683 Ha/atom. As for the crystal system: tetragonal.

The space group is P4/mmm (No. 123) and the conventional cell measures 3.806, 3.806 and 11.560 Å, with angles of 90.00, 90.00 and 90.00 degrees. The distinct sites, in fractional coordinates, are La at (0.000, 0.000, 0.000), Tm at (0.000, 0.000, 0.341), Mg at (0.500, 0.500, 0.184) and Mg at (0.500, 0.500, 0.500).


(6)
The following is a DFT calculation (PBE-GGA) of an optimized crystal structure of NaTlAg2.

The calculation puts the total magnetic moment at 0.00 μB/f.u. Its total energy is -0.08470 Ha/atom. As for the crystal system: orthorhombic.

The space group is Cmcm (No. 63) and the conventional cell measures 5.178, 9.228 and 8.043 Å, with angles of 90.00, 90.00 and 90.00 degrees. The distinct sites, in fractional coordinates, are Na at (0.000, 0.066, 0.250), Tl at (0.000, 0.402, 0.250) and Ag at (0.000, 0.272, 0.579).


(7)
The following is a DFT calculation (PBE-GGA) of an optimized crystal structure of AgSeIO2.

The calculation puts the total magnetic moment at 0.00 μB/f.u. Its total energy is -0.13084 Ha/atom. Its raw formation energy is 0.000 eV per atom. As for the crystal system: tetragonal.

The space group is P4/mmm (No. 123) and the conventional cell measures 3.920, 3.920 and 7.720 Å, with angles of 90.00, 90.00 and 90.00 degrees. The distinct sites, in fractional coordinates, are Ag at (0.000, 0.000, 0.000), Se at (0.500, 0.500, 0.500), I at (0.500, 0.500, 0.000) and O at (0.000, 0.500, 0.500).


(8)
The following is a DFT calculation (PBE-GGA) of an optimized crystal structure of Cu4PdAu.

The calculation puts the total magnetic moment at 0.00 μB/f.u. Its total energy is -0.15444 Ha/atom. As for the crystal system: monoclinic.

The space group is P2_1/m (No. 11) and the conventional cell measures 5.209, 4.134 and 7.833 Å, with angles of 90.00, 104.50 and 90.00 degrees. The distinct sites, in fractional coordinates, are Cu at (0.095, 0.250, 0.075), Cu at (0.143, 0.250, 0.762), Cu at (0.378, 0.750, 0.585), Cu at (0.396, 0.750, 0.909), Pd at (0.117, 0.250, 0.416) and Au at (0.360, 0.750, 0.241).


> Number 7 is which compound?

AgSeIO2